1.
# Sc2SiCl | Alexandria | PBE | relaxed
data_Sc2SiCl
_chemical_formula_sum 'Sc2 Si1 Cl1'
_cell_length_a 4.767
_cell_length_b 4.767
_cell_length_c 4.767
_cell_angle_alpha 60.00
_cell_angle_beta 60.00
_cell_angle_gamma 60.00
_symmetry_space_group_name_H-M 'P 1'
_symmetry_Int_Tables_number 1
_symmetry_space_group_name_Hall 'P 1'
loop_
_atom_site_label
_atom_site_type_symbol
_atom_site_fract_x
_atom_site_fract_y
_atom_site_fract_z
Sc1 Sc 0.250 0.250 0.250
Sc2 Sc 0.750 0.750 0.750
Si1 Si 0.000 0.000 0.000
Cl1 Cl 0.500 0.500 0.500
# - raw formation energy (eV/atom) = -0.708
# - distance to the lowest polymorph of the same formula (meV/atom) = 300
# - Fermi-level density of states (states/eV/atom) = 1.02
# - space group = Fm-3m
# - DFT total energy (eV/cell) = -22.77
# - V (Å³/cell) = 76.6

=====

2.
# Sc2Si2Cl | Alexandria | PBE | relaxed
data_Sc2Si2Cl
_chemical_formula_sum 'Sc4 Si4 Cl2'
_cell_length_a 7.190
_cell_length_b 7.190
_cell_length_c 3.744
_cell_angle_alpha 90.00
_cell_angle_beta 90.00
_cell_angle_gamma 90.00
_symmetry_space_group_name_H-M 'P 1'
_symmetry_Int_Tables_number 1
_symmetry_space_group_name_Hall 'P 1'
loop_
_atom_site_label
_atom_site_type_symbol
_atom_site_fract_x
_atom_site_fract_y
_atom_site_fract_z
Sc1 Sc 0.181 0.319 0.000
Sc2 Sc 0.319 0.819 0.000
Sc3 Sc 0.681 0.181 0.000
Sc4 Sc 0.819 0.681 0.000
Si1 Si 0.112 0.612 0.500
Si2 Si 0.388 0.112 0.500
Si3 Si 0.612 0.888 0.500
Si4 Si 0.888 0.388 0.500
Cl1 Cl 0.000 0.000 0.000
Cl2 Cl 0.500 0.500 0.000
# - raw formation energy (eV/atom) = -0.825
# - Fermi-level density of states (states/eV/atom) = 0.77
# - space group = P4/mbm
# - DFT total energy (eV/cell) = -58.96
# - V (Å³/cell) = 193.6

=====

3.
# Sc3SiCl3 | Alexandria | PBE | relaxed
data_Sc3SiCl3
_chemical_formula_sum 'Sc6 Si2 Cl6'
_cell_length_a 10.532
_cell_length_b 10.532
_cell_length_c 10.532
_cell_angle_alpha 35.10
_cell_angle_beta 35.10
_cell_angle_gamma 35.10
_symmetry_space_group_name_H-M 'P 1'
_symmetry_Int_Tables_number 1
_symmetry_space_group_name_Hall 'P 1'
loop_
_atom_site_label
_atom_site_type_symbol
_atom_site_fract_x
_atom_site_fract_y
_atom_site_fract_z
Sc1 Sc 0.110 0.448 0.785
Sc2 Sc 0.215 0.890 0.552
Sc3 Sc 0.448 0.785 0.110
Sc4 Sc 0.552 0.215 0.890
Sc5 Sc 0.785 0.110 0.448
Sc6 Sc 0.890 0.552 0.215
Si1 Si 0.167 0.167 0.167
Si2 Si 0.833 0.833 0.833
Cl1 Cl 0.066 0.725 0.396
Cl2 Cl 0.275 0.604 0.934
Cl3 Cl 0.396 0.066 0.725
Cl4 Cl 0.604 0.934 0.275
Cl5 Cl 0.725 0.396 0.066
Cl6 Cl 0.934 0.275 0.604
# - raw formation energy (eV/atom) = -1.454
# - Fermi-level density of states (states/eV/atom) = 0.33
# - space group = R-3
# - DFT total energy (eV/cell) = -80.27
# - V (Å³/cell) = 344.9

=====

4.
# ScSiCl2 | Alexandria | PBE | relaxed
data_ScSiCl2
_chemical_formula_sum 'Sc1 Si1 Cl2'
_cell_length_a 7.567
_cell_length_b 7.567
_cell_length_c 7.567
_cell_angle_alpha 155.53
_cell_angle_beta 141.60
_cell_angle_gamma 46.07
_symmetry_space_group_name_H-M 'P 1'
_symmetry_Int_Tables_number 1
_symmetry_space_group_name_Hall 'P 1'
loop_
_atom_site_label
_atom_site_type_symbol
_atom_site_fract_x
_atom_site_fract_y
_atom_site_fract_z
Sc1 Sc 0.000 0.000 0.000
Si1 Si 0.500 0.500 0.000
Cl1 Cl 0.143 0.643 0.500
Cl2 Cl 0.857 0.357 0.500
# - raw formation energy (eV/atom) = -0.808
# - distance to the lowest polymorph of the same formula (meV/atom) = 141
# - Fermi-level density of states (states/eV/atom) = 0.54
# - space group = Immm
# - DFT total energy (eV/cell) = -18.68
# - V (Å³/cell) = 111.2

=====

5.
# Sc2SiCl | Alexandria | PBE | relaxed
data_Sc2SiCl
_chemical_formula_sum 'Sc2 Si1 Cl1'
_cell_length_a 4.816
_cell_length_b 4.816
_cell_length_c 4.816
_cell_angle_alpha 60.00
_cell_angle_beta 60.00
_cell_angle_gamma 60.00
_symmetry_space_group_name_H-M 'P 1'
_symmetry_Int_Tables_number 1
_symmetry_space_group_name_Hall 'P 1'
loop_
_atom_site_label
_atom_site_type_symbol
_atom_site_fract_x
_atom_site_fract_y
_atom_site_fract_z
Sc1 Sc 0.000 0.000 0.000
Sc2 Sc 0.250 0.250 0.250
Si1 Si 0.750 0.750 0.750
Cl1 Cl 0.500 0.500 0.500
# - raw formation energy (eV/atom) = 0.086
# - distance to the lowest polymorph of the same formula (meV/atom) = 1094
# - Fermi-level density of states (states/eV/atom) = 1.09
# - space group = F-43m
# - DFT total energy (eV/cell) = -19.59
# - V (Å³/cell) = 79.0

=====

6.
# ScSiCl2 | Alexandria | PBE | relaxed
data_ScSiCl2
_chemical_formula_sum 'Sc1 Si1 Cl2'
_cell_length_a 3.208
_cell_length_b 4.375
_cell_length_c 5.507
_cell_angle_alpha 90.00
_cell_angle_beta 90.00
_cell_angle_gamma 90.00
_symmetry_space_group_name_H-M 'P 1'
_symmetry_Int_Tables_number 1
_symmetry_space_group_name_Hall 'P 1'
loop_
_atom_site_label
_atom_site_type_symbol
_atom_site_fract_x
_atom_site_fract_y
_atom_site_fract_z
Sc1 Sc 0.000 0.000 0.000
Si1 Si 0.500 0.000 0.500
Cl1 Cl 0.000 0.500 0.500
Cl2 Cl 0.500 0.500 0.000
# - raw formation energy (eV/atom) = -0.614
# - distance to the lowest polymorph of the same formula (meV/atom) = 335
# - Fermi-level density of states (states/eV/atom) = 0.51
# - space group = Pmmm
# - DFT total energy (eV/cell) = -17.90
# - V (Å³/cell) = 77.3

=====

7.
# ScSi2Cl | Alexandria | PBE | relaxed
data_ScSi2Cl
_chemical_formula_sum 'Sc1 Si2 Cl1'
_cell_length_a 3.452
_cell_length_b 3.460
_cell_length_c 7.330
_cell_angle_alpha 90.00
_cell_angle_beta 98.35
_cell_angle_gamma 90.00
_symmetry_space_group_name_H-M 'P 1'
_symmetry_Int_Tables_number 1
_symmetry_space_group_name_Hall 'P 1'
loop_
_atom_site_label
_atom_site_type_symbol
_atom_site_fract_x
_atom_site_fract_y
_atom_site_fract_z
Sc1 Sc 0.000 0.000 0.000
Si1 Si 0.095 0.500 0.305
Si2 Si 0.595 0.000 0.308
Cl1 Cl 0.450 0.500 0.836
# - raw formation energy (eV/atom) = -0.600
# - distance to the lowest polymorph of the same formula (meV/atom) = 0
# - Fermi-level density of states (states/eV/atom) = 0.75
# - space group = Pm
# - DFT total energy (eV/cell) = -21.42
# - V (Å³/cell) = 86.6

=====

8.
# ScSiCl2 | Alexandria | PBE | relaxed
data_ScSiCl2
_chemical_formula_sum 'Sc1 Si1 Cl2'
_cell_length_a 4.901
_cell_length_b 4.901
_cell_length_c 4.901
_cell_angle_alpha 60.00
_cell_angle_beta 60.00
_cell_angle_gamma 60.00
_symmetry_space_group_name_H-M 'P 1'
_symmetry_Int_Tables_number 1
_symmetry_space_group_name_Hall 'P 1'
loop_
_atom_site_label
_atom_site_type_symbol
_atom_site_fract_x
_atom_site_fract_y
_atom_site_fract_z
Sc1 Sc 0.000 0.000 0.000
Si1 Si 0.750 0.750 0.750
Cl1 Cl 0.250 0.250 0.250
Cl2 Cl 0.500 0.500 0.500
# - raw formation energy (eV/atom) = -0.164
# - distance to the lowest polymorph of the same formula (meV/atom) = 785
# - Fermi-level density of states (states/eV/atom) = 0.63
# - space group = F-43m
# - DFT total energy (eV/cell) = -16.10
# - V (Å³/cell) = 83.3

=====

9.
# Sc4SiCl5 | Alexandria | PBE | relaxed
data_Sc4SiCl5
_chemical_formula_sum 'Sc4 Si1 Cl5'
_cell_length_a 8.516
_cell_length_b 8.516
_cell_length_c 7.671
_cell_angle_alpha 102.41
_cell_angle_beta 102.41
_cell_angle_gamma 25.14
_symmetry_space_group_name_H-M 'P 1'
_symmetry_Int_Tables_number 1
_symmetry_space_group_name_Hall 'P 1'
loop_
_atom_site_label
_atom_site_type_symbol
_atom_site_fract_x
_atom_site_fract_y
_atom_site_fract_z
Sc1 Sc 0.002 0.002 0.231
Sc2 Sc 0.346 0.346 0.916
Sc3 Sc 0.654 0.654 0.084
Sc4 Sc 0.998 0.998 0.769
Si1 Si 0.500 0.500 0.000
Cl1 Cl 0.166 0.166 0.325
Cl2 Cl 0.174 0.174 0.850
Cl3 Cl 0.500 0.500 0.500
Cl4 Cl 0.826 0.826 0.150
Cl5 Cl 0.834 0.834 0.675
# - raw formation energy (eV/atom) = -1.604
# - Fermi-level density of states (states/eV/atom) = 0.40
# - space group = C2/m
# - DFT total energy (eV/cell) = -56.02
# - V (Å³/cell) = 230.5

=====

10.
# ScSiCl2 | Alexandria | PBE | relaxed
data_ScSiCl2
_chemical_formula_sum 'Sc1 Si1 Cl2'
_cell_length_a 7.208
_cell_length_b 7.208
_cell_length_c 4.744
_cell_angle_alpha 97.79
_cell_angle_beta 97.79
_cell_angle_gamma 25.92
_symmetry_space_group_name_H-M 'P 1'
_symmetry_Int_Tables_number 1
_symmetry_space_group_name_Hall 'P 1'
loop_
_atom_site_label
_atom_site_type_symbol
_atom_site_fract_x
_atom_site_fract_y
_atom_site_fract_z
Sc1 Sc 0.000 0.000 0.000
Si1 Si 0.500 0.500 0.500
Cl1 Cl 0.361 0.361 0.794
Cl2 Cl 0.639 0.639 0.206
# - raw formation energy (eV/atom) = -0.949
# - distance to the lowest polymorph of the same formula (meV/atom) = 0
# - Fermi-level density of states (states/eV/atom) = 0.10
# - space group = C2/m
# - DFT total energy (eV/cell) = -19.24
# - V (Å³/cell) = 106.7

=====

- V of number 8 (ScSiCl2)?
  83.3 Å³/cell

=====

- Which of these has the lowest DFT total energy?
  Sc3SiCl3

=====

- Which of these has the highest V?
  Sc3SiCl3

=====

- Which of these has the lowest Fermi-level density of states?
  number 10